Record 1
# NbBiNO2 (PBE-GGA, relaxed)
# formation energy (no corrections)	11.95	kcal/mol of atoms
# volume	15.4	Å³/atom
data_NbBiNO2
_chemical_formula_sum 'Nb1 Bi1 N1 O2'
_symmetry_space_group_name_H-M 'P 4/m m m'
_symmetry_Int_Tables_number 123
_symmetry_space_group_name_Hall '-P 4 2'
_cell_length_a 4.225
_cell_length_b 4.225
_cell_length_c 4.323
_cell_angle_alpha 90.00
_cell_angle_beta 90.00
_cell_angle_gamma 90.00
loop_
_atom_site_label
_atom_site_fract_x
_atom_site_fract_y
_atom_site_fract_z
_atom_site_occupancy
Nb1 0.000 0.000 0.000 1
Bi1 0.500 0.500 0.500 1
N1 0.500 0.500 0.000 1
O1 0.000 0.500 0.500 1

---

Record 2
# NbBiS2N (PBE-GGA, relaxed)
# formation energy (no corrections)	-3.11	kcal/mol of atoms
# volume	19.7	Å³/atom
# offset from the most stable computed form	0.0	kJ per mole of atoms
data_NbBiS2N
_chemical_formula_sum 'Nb1 Bi1 S2 N1'
_symmetry_space_group_name_H-M 'P 4/m m m'
_symmetry_Int_Tables_number 123
_symmetry_space_group_name_Hall '-P 4 2'
_cell_length_a 5.009
_cell_length_b 5.009
_cell_length_c 3.924
_cell_angle_alpha 90.00
_cell_angle_beta 90.00
_cell_angle_gamma 90.00
loop_
_atom_site_label
_atom_site_fract_x
_atom_site_fract_y
_atom_site_fract_z
_atom_site_occupancy
Nb1 0.000 0.000 0.000 1
Bi1 0.500 0.500 0.500 1
S1 0.000 0.500 0.000 1
N1 0.000 0.000 0.500 1